# 1
The following is a DFT calculation (PBE) of an optimized crystal structure of KCa2H.

Geometry as CIF:
```
data_KCa2H
_chemical_formula_sum 'K2 Ca4 H2'
_cell_length_a 7.567
_cell_length_b 7.567
_cell_length_c 7.566
_cell_angle_alpha 60.00
_cell_angle_beta 60.00
_cell_angle_gamma 90.00
_space_group_name_H-M_alt 'P 1'
_space_group_IT_number 1
_space_group_name_Hall 'P 1'
loop_
_atom_site_label
_atom_site_type_symbol
_atom_site_fract_x
_atom_site_fract_y
_atom_site_fract_z
_atom_site_occupancy
H1 H 0.500 0.500 0.000 1
H2 H 0.250 0.750 0.500 1
Ca1 Ca 0.374 0.125 0.250 1
Ca2 Ca 0.376 0.625 0.250 1
Ca3 Ca 0.375 0.626 0.750 1
Ca4 Ca 0.875 0.624 0.750 1
K1 K 0.000 0.000 0.000 1
K2 K 0.750 0.250 0.500 1
```

Calculated values
SG: No. 227
DFT total energy: -2.178 eV/atom

# 2
The following is a DFT calculation (PBE) of an optimized crystal structure of KZrCoCl2.

Geometry as CIF:
```
data_KZrCoCl2
_chemical_formula_sum 'K1 Zr1 Co1 Cl2'
_cell_length_a 4.743
_cell_length_b 5.295
_cell_length_c 4.743
_cell_angle_alpha 90.00
_cell_angle_beta 90.00
_cell_angle_gamma 90.00
_space_group_name_H-M_alt 'P 1'
_space_group_IT_number 1
_space_group_name_Hall 'P 1'
loop_
_atom_site_label
_atom_site_type_symbol
_atom_site_fract_x
_atom_site_fract_y
_atom_site_fract_z
_atom_site_occupancy
K1 K 0.000 0.500 0.000 1
Co1 Co 0.000 0.000 0.000 1
Zr1 Zr 0.500 0.500 0.500 1
Cl1 Cl 0.000 0.000 0.500 1
Cl2 Cl 0.500 0.000 0.000 1
```

Calculated values
SG: No. 123
formation energy (no corrections): 3.34 eV per formula unit
DFT total energy: -3.421 eV/atom